A relaxed Mg2AgIr crystal, computed with PBE.

Cell lengths 3.1876, 3.1876, 6.6020 Å; angles 90.00, 90.00, 90.00 degrees
With the nearest neighbours (Å) after each atom.
Fractional coordinates of all 4 atoms:
Mg 0.0000 0.0000 0.2238  4 Ir 2.69, 4 Ag 2.90, 1 Mg 2.95
Mg 0.0000 0.0000 0.7762  4 Ir 2.69, 4 Ag 2.90, 1 Mg 2.95
Ag 0.5000 0.5000 0.5000  8 Mg 2.90, 4 Ag 3.19
Ir 0.5000 0.5000 0.0000  8 Mg 2.69

Output
Its energy above the most stable polymorph in this dataset is 0.000 eV per atom. Its uncorrected energy is -16.1 eV/f.u. The formation energy is -310 meV/atom. As for the space group: No. 123.

=====

A relaxed MgAgIr2 crystal, computed with PBE.

Cell lengths 2.8774, 4.6955, 9.6033 Å; angles 90.00, 90.00, 90.00 degrees
With the nearest neighbours (Å) after each atom.
Fractional coordinates of all 8 atoms:
Mg 0.0000 0.0000 0.0000  6 Ir 2.76-2.81, 2 Mg 2.88, 2 Ag 2.94
Mg 0.5000 0.5000 0.5000  6 Ir 2.76-2.81, 2 Mg 2.88, 2 Ag 2.94
Ag 0.0000 0.5000 0.7673  6 Ir 2.76-2.87, 2 Ag 2.88, 2 Mg 2.94
Ag 0.5000 0.0000 0.2673  6 Ir 2.76-2.87, 2 Ag 2.88, 2 Mg 2.94
Ir 0.0000 0.0000 0.5258  4 Ir 2.58-2.88, 4 Mg 2.76, 2 Ag 2.87
Ir 0.0000 0.5000 0.2484  4 Ir 2.58-2.88, 4 Ag 2.76, 2 Mg 2.81
Ir 0.5000 0.0000 0.7484  4 Ir 2.58-2.88, 4 Ag 2.76, 2 Mg 2.81
Ir 0.5000 0.5000 0.0258  4 Ir 2.58-2.88, 4 Mg 2.76, 2 Ag 2.87

Output
Its uncorrected energy is -21.7 eV/f.u. The formation energy is 118 meV/atom. As for the space group: No. 44.

=====

A relaxed Mg2AgIr2 crystal, computed with PBE.

Cell lengths 3.6032, 3.6032, 14.6890 Å; angles 90.00, 90.00, 90.00 degrees
With the nearest neighbours (Å) after each atom.
Fractional coordinates of all 10 atoms:
Mg 0.0000 0.0000 0.1057  4 Ir 2.78, 4 Ag 2.98, 1 Mg 3.11
Mg 0.0000 0.0000 0.8943  4 Ir 2.78, 4 Ag 2.98, 1 Mg 3.11
Mg 0.5000 0.5000 0.3943  4 Ir 2.78, 4 Ag 2.98, 1 Mg 3.11
Mg 0.5000 0.5000 0.6057  4 Ir 2.78, 4 Ag 2.98, 1 Mg 3.11
Ag 0.0000 0.0000 0.5000  8 Mg 2.98
Ag 0.5000 0.5000 0.0000  8 Mg 2.98
Ir 0.0000 0.5000 0.2500  4 Ir 2.55, 4 Mg 2.78
Ir 0.0000 0.5000 0.7500  4 Ir 2.55, 4 Mg 2.78
Ir 0.5000 0.0000 0.2500  4 Ir 2.55, 4 Mg 2.78
Ir 0.5000 0.0000 0.7500  4 Ir 2.55, 4 Mg 2.78

Output
Its energy above the most stable polymorph in this dataset is 0.137 eV per atom. Its uncorrected energy is -23.1 eV/f.u. The formation energy is 123 meV/atom. As for the space group: No. 139.

=====

A relaxed MgAgIr2 crystal, computed with PBE.

Cell lengths 2.7723, 4.1576, 5.4998 Å; angles 90.00, 90.00, 90.00 degrees
With the nearest neighbours (Å) after each atom.
Fractional coordinates of all 4 atoms:
Mg 0.0000 0.0000 0.0000  2 Ag 2.75, 2 Mg 2.77, 8 Ir 2.82
Ag 0.0000 0.0000 0.5000  2 Mg 2.75, 2 Ag 2.77, 8 Ir 2.89
Ir 0.5000 0.5000 0.2358  3 Ir 2.59-2.77, 4 Mg 2.82, 4 Ag 2.89
Ir 0.5000 0.5000 0.7642  3 Ir 2.59-2.77, 4 Mg 2.82, 4 Ag 2.89

Output
Its uncorrected energy is -21.5 eV/f.u. The formation energy is 156 meV/atom. As for the space group: No. 47.

=====

A relaxed MgAgIr2 crystal, computed with PBE.

Cell lengths 5.4863, 8.1220, 2.8180 Å; angles 90.00, 90.00, 90.00 degrees
With the nearest neighbours (Å) after each atom.
Fractional coordinates of all 8 atoms:
Mg 0.0000 0.0000 0.0000  2 Ag 2.74, 2 Mg 2.82, 8 Ir 2.83
Mg 0.5000 0.5000 0.0000  2 Ag 2.74, 2 Mg 2.82, 8 Ir 2.83
Ag 0.0000 0.5000 0.0000  2 Mg 2.74, 2 Ag 2.82, 8 Ir 2.83
Ag 0.5000 0.0000 0.0000  2 Mg 2.74, 2 Ag 2.82, 8 Ir 2.83
Ir 0.2500 0.2500 0.5000  4 Ir 2.74-2.82, 4 Mg 2.83, 4 Ag 2.83
Ir 0.2500 0.7500 0.5000  4 Ir 2.74-2.82, 4 Mg 2.83, 4 Ag 2.83
Ir 0.7500 0.2500 0.5000  4 Ir 2.74-2.82, 4 Mg 2.83, 4 Ag 2.83
Ir 0.7500 0.7500 0.5000  4 Ir 2.74-2.82, 4 Mg 2.83, 4 Ag 2.83

Output
Its uncorrected energy is -21.6 eV/f.u. The formation energy is 146 meV/atom. As for the space group: No. 65.

=====

A relaxed Mg2AgIr crystal, computed with PBE.

Cell lengths 3.2200, 4.4405, 9.4770 Å; angles 90.00, 90.00, 90.00 degrees
With the nearest neighbours (Å) after each atom.
Fractional coordinates of all 8 atoms:
Mg 0.0000 0.0000 0.0000  4 Ir 2.74, 2 Ag 2.87, 2 Mg 3.05
Mg 0.0000 0.5000 0.2262  2 Ir 2.70, 4 Ag 2.75
Mg 0.5000 0.0000 0.7262  2 Ir 2.70, 4 Ag 2.75
Mg 0.5000 0.5000 0.5000  4 Ir 2.74, 2 Ag 2.87, 2 Mg 3.05
Ag 0.0000 0.5000 0.7503  6 Mg 2.75-2.87, 2 Ir 2.84
Ag 0.5000 0.0000 0.2503  6 Mg 2.75-2.87, 2 Ir 2.84
Ir 0.0000 0.0000 0.4969  6 Mg 2.70-2.74, 2 Ag 2.84
Ir 0.5000 0.5000 0.9969  6 Mg 2.70-2.74, 2 Ag 2.84

Output
Its energy above the most stable polymorph in this dataset is 0.122 eV per atom. Its uncorrected energy is -15.7 eV/f.u. The formation energy is -188 meV/atom. As for the space group: No. 44.

=====

A relaxed Mg2AgIr crystal, computed with PBE.

Cell lengths 3.3792, 3.3792, 6.0456 Å; angles 90.00, 90.00, 90.00 degrees
With the nearest neighbours (Å) after each atom.
Fractional coordinates of all 4 atoms:
Mg 0.0000 0.0000 0.0000  4 Ir 2.65, 1 Ag 2.83
Mg 0.5000 0.5000 0.3017  4 Ag 2.77, 2 Ir 2.98-3.07, 4 Mg 3.01
Ag 0.0000 0.0000 0.5325  5 Mg 2.77-2.83, 4 Ir 2.92
Ir 0.5000 0.5000 0.8093  4 Mg 2.65, 4 Ag 2.92

Output
Its energy above the most stable polymorph in this dataset is 0.262 eV per atom. Its uncorrected energy is -15.1 eV/f.u. The formation energy is -48 meV/atom. As for the space group: No. 99.

=====

A relaxed Mg5AgIr2 crystal, computed with PBE.

Cell lengths 5.6573, 11.1688, 4.3145 Å; angles 90.00, 90.00, 90.00 degrees
With the nearest neighbours (Å) after each atom.
Fractional coordinates of all 16 atoms:
Mg 0.0000 0.0000 0.0000  2 Ag 2.83, 4 Ir 2.84, 6 Mg 2.92-3.03
Mg 0.0782 0.2585 0.0000  1 Ag 2.73, 4 Ir 2.80-2.96, 7 Mg 2.84-3.02
Mg 0.1962 0.6132 0.5000  2 Ag 2.74, 4 Ir 2.78-2.90, 6 Mg 2.99-3.03
Mg 0.3038 0.1132 0.5000  2 Ag 2.74, 4 Ir 2.78-2.90, 6 Mg 2.99-3.03
Mg 0.4218 0.7585 0.0000  1 Ag 2.73, 4 Ir 2.80-2.96, 7 Mg 2.84-3.02
Mg 0.5000 0.5000 0.0000  2 Ag 2.83, 4 Ir 2.84, 6 Mg 2.92-3.03
Mg 0.5782 0.2415 0.0000  1 Ag 2.73, 4 Ir 2.80-2.96, 7 Mg 2.84-3.02
Mg 0.6962 0.8868 0.5000  2 Ag 2.74, 4 Ir 2.78-2.90, 6 Mg 2.99-3.03
Mg 0.8038 0.3868 0.5000  2 Ag 2.74, 4 Ir 2.78-2.90, 6 Mg 2.99-3.03
Mg 0.9218 0.7415 0.0000  1 Ag 2.73, 4 Ir 2.80-2.96, 7 Mg 2.84-3.02
Ag 0.0000 0.5000 0.0000  8 Mg 2.73-2.83
Ag 0.5000 0.0000 0.0000  8 Mg 2.73-2.83
Ir 0.1857 0.8636 0.5000  10 Mg 2.78-2.96
Ir 0.3143 0.3636 0.5000  10 Mg 2.78-2.96
Ir 0.6857 0.6364 0.5000  10 Mg 2.78-2.96
Ir 0.8143 0.1364 0.5000  10 Mg 2.78-2.96

Output
Its uncorrected energy is -30.4 eV/f.u. The formation energy is -236 meV/atom. As for the space group: No. 55.

=====

A relaxed MgAgIr2 crystal, computed with PBE.

Cell lengths 2.7860, 4.6838, 4.8550 Å; angles 90.00, 93.44, 90.00 degrees
With the nearest neighbours (Å) after each atom.
Fractional coordinates of all 4 atoms:
Mg 0.0000 0.0000 0.0000  4 Ir 2.71, 4 Ag 2.73-2.87, 2 Mg 2.79
Ag 0.5000 0.0000 0.5000  4 Mg 2.73-2.87, 4 Ir 2.79, 2 Ag 2.79
Ir 0.2380 0.5000 0.7629  5 Ir 2.65-2.80, 2 Mg 2.71, 2 Ag 2.79
Ir 0.7620 0.5000 0.2371  5 Ir 2.65-2.80, 2 Mg 2.71, 2 Ag 2.79

Output
Its uncorrected energy is -21.9 eV/f.u. The formation energy is 72 meV/atom. As for the space group: No. 10.

=====

A relaxed Mg5Ag4Ir crystal, computed with PBE.

Cell lengths 3.2466, 3.2466, 16.8653 Å; angles 90.00, 90.00, 90.00 degrees
With the nearest neighbours (Å) after each atom.
Fractional coordinates of all 10 atoms:
Mg 0.0000 0.0000 0.0000  8 Ag 2.88
Mg 0.0000 0.0000 0.2058  8 Ag 2.88
Mg 0.0000 0.0000 0.4141  4 Ir 2.71, 1 Mg 2.90, 4 Ag 2.90
Mg 0.0000 0.0000 0.5859  4 Ir 2.71, 1 Mg 2.90, 4 Ag 2.90
Mg 0.0000 0.0000 0.7942  8 Ag 2.88
Ag 0.5000 0.5000 0.1029  8 Mg 2.88
Ag 0.5000 0.5000 0.3092  8 Mg 2.88-2.90, 1 Ir 3.22
Ag 0.5000 0.5000 0.6908  8 Mg 2.88-2.90, 1 Ir 3.22
Ag 0.5000 0.5000 0.8971  8 Mg 2.88
Ir 0.5000 0.5000 0.5000  8 Mg 2.71

Output
Its uncorrected energy is -30.8 eV/f.u. The formation energy is -261 meV/atom. As for the space group: No. 123.

=====

A relaxed MgAgIr2 crystal, computed with PBE.

Cell lengths 2.8009, 2.8009, 27.6757 Å; angles 90.00, 90.00, 120.00 degrees
With the nearest neighbours (Å) after each atom.
Fractional coordinates of all 12 atoms:
Mg 0.0000 0.0000 0.0000  6 Ir 2.72, 6 Mg 2.80
Mg 0.3333 0.6667 0.6667  6 Ir 2.72, 6 Mg 2.80
Mg 0.6667 0.3333 0.3333  6 Ir 2.72, 6 Mg 2.80
Ag 0.0000 0.0000 0.5000  6 Ag 2.80, 6 Ir 2.92
Ag 0.3333 0.6667 0.1667  6 Ag 2.80, 6 Ir 2.92
Ag 0.6667 0.3333 0.8333  6 Ag 2.80, 6 Ir 2.92
Ir 0.0000 0.0000 0.2544  3 Mg 2.72, 6 Ir 2.80, 3 Ag 2.92
Ir 0.0000 0.0000 0.7456  3 Mg 2.72, 6 Ir 2.80, 3 Ag 2.92
Ir 0.3333 0.6667 0.4123  3 Mg 2.72, 6 Ir 2.80, 3 Ag 2.92
Ir 0.3333 0.6667 0.9210  3 Mg 2.72, 6 Ir 2.80, 3 Ag 2.92
Ir 0.6667 0.3333 0.0790  3 Mg 2.72, 6 Ir 2.80, 3 Ag 2.92
Ir 0.6667 0.3333 0.5877  3 Mg 2.72, 6 Ir 2.80, 3 Ag 2.92

Output
Its uncorrected energy is -21.9 eV/f.u. The formation energy is 55 meV/atom. As for the space group: No. 166.

=====

A relaxed MgAgIr2 crystal, computed with PBE.

Cell lengths 2.8249, 2.8249, 27.4988 Å; angles 90.00, 90.00, 120.00 degrees
With the nearest neighbours (Å) after each atom.
Fractional coordinates of all 12 atoms:
Mg 0.0000 0.0000 0.0000  3 Ir 2.76, 6 Mg 2.82, 3 Ag 2.90
Mg 0.3333 0.6667 0.6667  3 Ir 2.76, 6 Mg 2.82, 3 Ag 2.90
Mg 0.6667 0.3333 0.3333  3 Ir 2.76, 6 Mg 2.82, 3 Ag 2.90
Ag 0.0000 0.0000 0.7538  6 Ag 2.82, 3 Mg 2.90, 3 Ir 2.91
Ag 0.3333 0.6667 0.4204  6 Ag 2.82, 3 Mg 2.90, 3 Ir 2.91
Ag 0.6667 0.3333 0.0871  6 Ag 2.82, 3 Mg 2.90, 3 Ir 2.91
Ir 0.0000 0.0000 0.2524  9 Ir 2.69-2.82, 3 Mg 2.76
Ir 0.0000 0.0000 0.5080  9 Ir 2.69-2.82, 3 Ag 2.91
Ir 0.3333 0.6667 0.1747  9 Ir 2.69-2.82, 3 Ag 2.91
Ir 0.3333 0.6667 0.9190  9 Ir 2.69-2.82, 3 Mg 2.76
Ir 0.6667 0.3333 0.5857  9 Ir 2.69-2.82, 3 Mg 2.76
Ir 0.6667 0.3333 0.8413  9 Ir 2.69-2.82, 3 Ag 2.91

Output
Its uncorrected energy is -21.9 eV/f.u. The formation energy is 70 meV/atom. As for the space group: No. 160.

=====

A relaxed Mg2AgIr2 crystal, computed with PBE.

Cell lengths 7.1541, 7.1541, 3.3289 Å; angles 90.00, 90.00, 90.00 degrees
With the nearest neighbours (Å) after each atom.
Fractional coordinates of all 10 atoms:
Mg 0.1689 0.3311 0.0000  6 Ir 2.64-2.72
Mg 0.3311 0.8311 0.0000  6 Ir 2.64-2.72
Mg 0.6689 0.1689 0.0000  6 Ir 2.64-2.72
Mg 0.8311 0.6689 0.0000  6 Ir 2.64-2.72
Ag 0.0000 0.0000 0.5000  4 Ir 2.81, 8 Mg 3.14
Ag 0.5000 0.5000 0.5000  4 Ir 2.81, 8 Mg 3.14
Ir 0.1288 0.6288 0.5000  1 Ir 2.61, 6 Mg 2.64-2.72, 2 Ag 2.81
Ir 0.3712 0.1288 0.5000  1 Ir 2.61, 6 Mg 2.64-2.72, 2 Ag 2.81
Ir 0.6288 0.8712 0.5000  1 Ir 2.61, 6 Mg 2.64-2.72, 2 Ag 2.81
Ir 0.8712 0.3712 0.5000  1 Ir 2.61, 6 Mg 2.64-2.72, 2 Ag 2.81

Output
Its energy above the most stable polymorph in this dataset is 0.000 eV per atom. Its uncorrected energy is -23.8 eV/f.u. The formation energy is -13 meV/atom. As for the space group: No. 127.